(1)
The following is a PBE calculation of Rb2LaRe after structural relaxation, from Alexandria.

Energy relative to the lowest polymorph listed for this composition   0.0 meV per atom
Density of states at the Fermi level   12.0 states/eV per cell
Calculated total energy   -3.453 eV per atom
Crystal system   tetragonal

Lattice parameters (Å, degrees): 14.0345 14.0345 14.0345 161.57 161.57 26.18
With the nearest neighbours (Å) after each atom.
Element x y z (fractional)
Rb1 0.1188 0.6250 0.9938  4 Rb 3.14-3.22
Rb2 0.3750 0.3688 0.4938  4 Rb 3.14-3.22
Rb3 0.6312 0.1250 0.0062  4 Rb 3.14-3.22
Rb4 0.8750 0.8812 0.5062  4 Rb 3.14-3.22
La1 0.2500 0.7500 0.5000  4 Re 3.18
La2 0.5000 0.5000 0.0000  4 Re 3.18
Re1 0.0000 0.0000 0.0000  4 La 3.18
Re2 0.7500 0.2500 0.5000  4 La 3.18

***

(2)
The following is a PBE calculation of TiCu3Tc after structural relaxation, from Alexandria.

Energy relative to the lowest polymorph listed for this composition   0.0 meV per atom
Density of states at the Fermi level   7.8 states/eV per cell
Calculated total energy   -4.810 eV per atom
Crystal system   cubic

Lattice parameters (Å, degrees): 4.5300 4.5300 4.5300 90.00 90.00 90.00
With the nearest neighbours (Å) after each atom.
Element x y z (fractional)
Ti1 0.0000 0.0000 0.0000  12 Cu 3.20
Cu1 0.0000 0.5000 0.5000  2 Tc 2.27
Cu2 0.5000 0.0000 0.5000  2 Tc 2.27
Cu3 0.5000 0.5000 0.0000  2 Tc 2.27
Tc1 0.5000 0.5000 0.5000  6 Cu 2.27

***

(3)
The following is a PBE calculation of Sr3TiAg after structural relaxation, from Alexandria.

Energy relative to the lowest polymorph listed for this composition   0.0 meV per atom
Density of states at the Fermi level   4.5 states/eV per cell
Calculated total energy   -2.667 eV per atom
Crystal system   cubic

Lattice parameters (Å, degrees): 6.0377 6.0377 6.0377 90.00 90.00 90.00
With the nearest neighbours (Å) after each atom.
Element x y z (fractional)
Sr1 0.0000 0.0000 0.5000  2 Ag 3.02
Sr2 0.0000 0.5000 0.0000  2 Ag 3.02
Sr3 0.5000 0.0000 0.0000  2 Ag 3.02
Ti1 0.5000 0.5000 0.5000  12 Sr 4.27
Ag1 0.0000 0.0000 0.0000  6 Sr 3.02

***

(4)
The following is a PBE calculation of HfZr3N after structural relaxation, from Alexandria.

Energy relative to the lowest polymorph listed for this composition   36.3 meV per atom
Density of states at the Fermi level   4.8 states/eV per cell
Calculated total energy   -9.475 eV per atom
Crystal system   cubic

Lattice parameters (Å, degrees): 4.5650 4.5650 4.5650 90.00 90.00 90.00
With the nearest neighbours (Å) after each atom.
Element x y z (fractional)
Hf1 0.0000 0.0000 0.0000  12 Zr 3.23
Zr1 0.0000 0.5000 0.5000  2 N 2.28
Zr2 0.5000 0.0000 0.5000  2 N 2.28
Zr3 0.5000 0.5000 0.0000  2 N 2.28
N1 0.5000 0.5000 0.5000  6 Zr 2.28